Material: BaDyZn2Pt2
Method: DFT, PBE
State: optimized geometry

abc: 4.5199 4.5199 7.9297
angles: 90.00 90.00 120.00
Element x y z (fractional)
Ba 0.0000 0.0000 0.0000
Dy 0.0000 0.0000 0.5000
Zn 0.3333 0.6667 0.6980
Zn 0.6667 0.3333 0.3020
Pt 0.3333 0.6667 0.3103
Pt 0.6667 0.3333 0.6897

Summary:
crystal system: trigonal
calculated volume: 23.38 Å³/atom
formation energy from the elements: -0.802 eV/atom